1.
Material: La3AuO
Method: DFT, PBE
State: relaxed

Properties
Its total energy is -5.7062 eV/atom. The energy relative to the elements, uncorrected comes out at -1103 meV per atom. As for the polymorph energy (0 for the lowest one): 358 meV/atom.

```
data_La3AuO
_chemical_formula_sum 'La9 Au3 O3'
_cell_length_a 7.3968
_cell_length_b 7.3968
_cell_length_c 9.2668
_cell_angle_alpha 90.00
_cell_angle_beta 90.00
_cell_angle_gamma 120.00
_symmetry_space_group_name_H-M 'R 3 m'
_symmetry_Int_Tables_number 160
_symmetry_space_group_name_Hall 'R 3 -2"'
loop_
_atom_site_label
_atom_site_fract_x
_atom_site_fract_y
_atom_site_fract_z
La1 0.1674 0.3348 0.0000
Au1 0.0000 0.0000 0.7402
O1 0.0000 0.0000 0.4065
```

2.
Material: Mg2Co5Ge3H2
Method: DFT, PBE
State: relaxed

Properties
Its total energy is -5.0951 eV/atom.

```
data_Mg2Co5Ge3H2
_chemical_formula_sum 'Mg4 Co10 Ge6 H4'
_cell_length_a 3.7528
_cell_length_b 3.7528
_cell_length_c 19.9514
_cell_angle_alpha 90.00
_cell_angle_beta 90.00
_cell_angle_gamma 90.00
_symmetry_space_group_name_H-M 'I 4/m m m'
_symmetry_Int_Tables_number 139
_symmetry_space_group_name_Hall '-I 4 2'
loop_
_atom_site_label
_atom_site_fract_x
_atom_site_fract_y
_atom_site_fract_z
Mg1 0.0000 0.0000 0.1969
Co1 0.0000 0.0000 0.0000
Co2 0.0000 0.5000 0.0873
Ge1 0.0000 0.0000 0.3368
Ge2 0.0000 0.0000 0.5000
H1 0.0000 0.0000 0.0842
```

3.
Material: Ce5Te4S
Method: DFT, PBE
State: relaxed

Properties
Its total energy is -6.0932 eV/atom. The energy relative to the elements, uncorrected comes out at -1457 meV per atom.

```
data_Ce5Te4S
_chemical_formula_sum 'Ce10 Te8 S2'
_cell_length_a 9.8177
_cell_length_b 9.8177
_cell_length_c 6.2416
_cell_angle_alpha 90.00
_cell_angle_beta 90.00
_cell_angle_gamma 90.00
_symmetry_space_group_name_H-M 'I 4/m'
_symmetry_Int_Tables_number 87
_symmetry_space_group_name_Hall '-I 4'
loop_
_atom_site_label
_atom_site_fract_x
_atom_site_fract_y
_atom_site_fract_z
Ce1 0.0000 0.0000 0.0000
Ce2 0.0972 0.7253 0.5000
Te1 0.0901 0.6938 0.0000
S1 0.0000 0.0000 0.5000
```

In the order shown, the computed N(E_F) values come out to 1.1542, 0.7021, 3.5180 states/eV/atom.
In the order shown, the computed calculated volume values come out to 29.273, 11.708, 30.081 Å³/atom.